A plane-wave DFT calculation with PBE-GGA was carried out for a relaxed structure of PmGa2Au6.

Properties
ΔE_f: -0.292 eV per atom
E: -3.6775 eV per atom
M_tot: 0.000 μB/atom

Cell: 5.666 5.666 7.241 Å, 90.00 90.00 120.00°
Atoms (fractional coordinates):
Pm1 0.000 0.000 0.000
Ga1 0.333 0.667 0.500
Ga2 0.667 0.333 0.500
Au1 0.500 0.000 0.204
Au2 0.500 0.500 0.204
Au3 0.000 0.500 0.204
Au4 0.500 0.500 0.796
Au5 0.000 0.500 0.796
Au6 0.500 0.000 0.796